Entry 1:
Density functional theory data (PBE-GGA) for a relaxed PrSmC crystal.

Geometry as POSCAR:
```
PrSmC
1.0
5.455 0.000 0.000
0.000 8.615 -0.840
0.000 -4.913 7.130
Sm Pr C
4 4 4
Direct
0.250 0.954 0.796
0.750 0.046 0.204
0.250 0.454 0.296
0.750 0.546 0.704
0.750 0.822 0.428
0.250 0.178 0.572
0.750 0.322 0.928
0.250 0.678 0.072
0.750 0.192 0.558
0.250 0.308 0.942
0.250 0.808 0.442
0.750 0.692 0.058
```

Summary:
- energy of formation (eV/f.u.) = -0.1
- V (Å³/f.u.) = 78.1


Entry 2:
Density functional theory data (PBE-GGA) for a relaxed CsBaAuI crystal.

Geometry as POSCAR:
```
CsBaAuI
1.0
4.909 0.000 0.000
-2.453 4.252 0.000
-2.454 -1.417 9.299
I Au Cs Ba
1 1 1 1
Direct
0.948 0.372 0.335
0.329 0.562 0.906
0.487 0.141 0.643
0.115 0.955 0.086
```

Summary:
- V (Å³/f.u.) = 194.1
- E_form (uncorrected) (eV per atom) = -0.948


Entry 3:
Density functional theory data (PBE-GGA) for a relaxed K2CaZn crystal.

Geometry as POSCAR:
```
K2CaZn
1.0
-0.165 -2.014 -4.536
-1.382 -4.648 2.114
-6.096 1.592 -0.485
Ca K Zn
1 2 1
Direct
0.000 0.500 0.500
0.000 0.000 0.000
0.500 0.500 0.000
0.500 0.000 0.500
```

Summary:
- energy of formation (eV/f.u.) = 0.9
- V (Å³/f.u.) = 166.0


Entry 4:
Density functional theory data (PBE-GGA) for a relaxed CdFe2Co2 crystal.

Geometry as POSCAR:
```
CdFe2Co2
1.0
7.059 0.000 0.000
0.000 7.059 0.000
0.000 0.000 2.680
Co Fe Cd
4 4 2
Direct
0.345 0.155 0.500
0.845 0.345 0.500
0.655 0.845 0.500
0.155 0.655 0.500
0.135 0.365 0.000
0.365 0.865 0.000
0.865 0.635 0.000
0.635 0.135 0.000
0.500 0.500 0.000
0.000 0.000 0.000
```

Summary:
- energy of formation (eV/f.u.) = 1.1
- V (Å³/f.u.) = 66.8


Entry 5:
Density functional theory data (PBE-GGA) for a relaxed PmSe2S6 crystal.

Geometry as POSCAR:
```
PmSe2S6
1.0
6.382 0.000 0.000
-3.191 9.193 0.000
0.000 0.000 4.241
Pm Se S
1 2 6
Direct
0.500 0.000 0.000
0.000 0.500 0.728
0.500 0.500 0.272
0.294 0.111 0.499
0.309 0.619 0.000
0.691 0.381 0.000
0.706 0.889 0.499
0.183 0.889 0.501
0.817 0.111 0.501
```

Summary:
- V (Å³/f.u.) = 248.8
- E_form (uncorrected) (eV per atom) = -0.423


Entry 6:
Density functional theory data (PBE-GGA) for a relaxed Sm6CoCu2 crystal.

Geometry as POSCAR:
```
Sm6CoCu2
1.0
6.647 0.000 0.365
0.000 7.278 0.000
-0.284 0.000 10.140
Sm Cu Co
12 4 2
Direct
0.181 0.315 0.435
0.141 0.027 0.749
0.663 0.180 0.567
0.359 0.527 0.751
0.859 0.973 0.251
0.641 0.473 0.249
0.337 0.820 0.433
0.163 0.320 0.067
0.837 0.680 0.933
0.681 0.185 0.935
0.319 0.815 0.065
0.819 0.685 0.565
0.556 0.888 0.754
0.444 0.112 0.246
0.944 0.388 0.746
0.056 0.612 0.254
0.000 0.000 0.500
0.500 0.500 0.000
```

Summary:
- energy of formation (eV/f.u.) = -0.6
- V (Å³/f.u.) = 245.6


Entry 7:
Density functional theory data (PBE-GGA) for a relaxed Eu2SiCl crystal.

Geometry as POSCAR:
```
Eu2SiCl
1.0
4.230 0.000 0.000
2.115 3.664 0.000
2.115 1.221 7.363
Cl Si Eu
1 1 2
Direct
0.500 0.500 0.500
0.000 0.000 0.000
0.746 0.746 0.763
0.254 0.254 0.237
```

Summary:
- V (Å³/f.u.) = 114.1
- E_form (uncorrected) (eV per atom) = -1.073


Entry 8:
Density functional theory data (PBE-GGA) for a relaxed CaCoW crystal.

Geometry as POSCAR:
```
CaCoW
1.0
-1.770 2.461 -0.535
-0.868 -2.097 2.079
3.280 3.403 4.801
Ca Co W
1 1 1
Direct
0.000 0.000 0.015
0.667 0.333 0.373
0.333 0.667 0.613
```

Summary:
- energy of formation (eV/f.u.) = 2.3
- V (Å³/f.u.) = 55.3


Number 1: total moment 0.01 Bohr magnetons per cell, D(E_F) 14.715 states/eV/cell. Number 2: total moment 0.77 Bohr magnetons per cell, D(E_F) 2.792 states/eV/cell. Number 3: total moment 0.00 Bohr magnetons per cell, D(E_F) 2.824 states/eV/cell. Number 4: total moment 16.58 Bohr magnetons per cell, D(E_F) 7.618 states/eV/cell. Number 5: total moment 0.00 Bohr magnetons per cell, D(E_F) 0.541 states/eV/cell. Number 6: total moment 0.00 Bohr magnetons per cell, D(E_F) 20.091 states/eV/cell. Number 7: total moment 13.96 Bohr magnetons per cell, D(E_F) 16.929 states/eV/cell. Number 8: total moment 0.00 Bohr magnetons per cell, D(E_F) 4.427 states/eV/cell.